MoRu3: optimized geometry, PBEsol.

a b c (Å): 2.713 2.713 8.654
angles (deg): 90.00 90.00 120.00
Atoms (fractional coordinates):
Mo (0.000, 0.000, 0.000)
Ru (0.000, 0.000, 0.500)
Ru (0.667, 0.333, 0.256)
Ru (0.667, 0.333, 0.744)

- formation enthalpy at 0 K (kJ per mole of atoms) = 4
- raw total energy (eV per cell) = -42.1
- space group = P-6m2 (187)
- density of states at the Fermi level (states/eV/atom) = 0.9641
- calculated volume (A^3/atom) = 13.79